1.
PBE BeAs4, optimized geometry; DFT total energy = -3.89 eV/atom; energy above the lowest structure with this stoichiometry = 0.3799 eV/atom; space-group type = Pm-3m, No. 221; M_tot = 0.00 μB/atom; E_form = 576 meV per atom
1.0
-2.923 2.214 -2.637
-1.630 -3.936 -1.499
-3.033 -0.019 3.346
Be As
1 4
Direct
0.500 0.500 0.500
0.000 0.000 0.000
0.500 0.000 0.500
0.000 0.500 0.500
0.500 0.500 0.000

=====

2.
PBE Si2SnBi, optimized geometry; DFT total energy = -4.28 eV/atom; energy above the lowest structure with this stoichiometry = 0.0000 eV/atom; space-group type = I-42d, No. 122; M_tot = 0.00 μB/atom; formation energy without anion corrections = 400 meV per atom
1.0
6.302 0.000 0.000
0.000 6.302 0.000
3.151 3.151 6.228
Si Bi Sn
4 2 2
Direct
0.603 0.125 0.250
0.147 0.625 0.250
0.375 0.397 0.750
0.875 0.853 0.750
0.000 0.000 0.000
0.750 0.250 0.500
0.500 0.500 0.000
0.250 0.750 0.500

=====

3.
PBE AcHoCu2, optimized geometry; DFT total energy = -4.38 eV/atom; energy above the lowest structure with this stoichiometry = 0.0000 eV/atom; space-group type = P4/mmm, No. 123; M_tot = 0.00 μB/atom; E_form = -162 meV per atom
1.0
3.614 0.000 0.000
0.000 3.614 0.000
0.000 0.000 7.257
Ac Ho Cu
1 1 2
Direct
0.500 0.500 0.500
0.500 0.500 0.000
0.000 0.000 0.793
0.000 0.000 0.207

=====

4.
PBE Ga2BiIrCl, optimized geometry; DFT total energy = -3.93 eV/atom; space-group type = P4/mmm, No. 123; M_tot = 0.00 μB/atom; formation energy without anion corrections = 200 meV per atom
1.0
4.863 0.000 0.000
0.000 4.863 0.000
0.000 0.000 4.986
Ir Bi Ga Cl
1 1 2 1
Direct
0.000 0.000 0.000
0.500 0.500 0.500
0.000 0.500 0.000
0.500 0.000 0.000
0.000 0.000 0.500

=====

5.
PBE LiPr2P3Pd4, optimized geometry; DFT total energy = -5.81 eV/atom; space-group type = P-4m2, No. 115; M_tot = 0.00 μB/atom; E_form = -962 meV per atom
1.0
-4.165 -0.673 -0.081
0.341 -1.640 -3.873
1.373 -8.970 3.918
Li Pr P Pd
1 2 3 4
Direct
0.500 0.500 0.500
0.500 0.000 0.245
0.000 0.500 0.755
0.000 0.000 0.500
0.500 0.000 0.860
0.000 0.500 0.140
0.500 0.500 0.000
0.000 0.000 0.000
0.500 0.000 0.620
0.000 0.500 0.380

=====

6.
PBE Hf3FeH, optimized geometry; DFT total energy = -8.53 eV/atom; energy above the lowest structure with this stoichiometry = 0.0000 eV/atom; space-group type = P-1, No. 2; M_tot = 0.00 μB/atom
1.0
-3.965 -0.550 1.994
0.951 -4.048 5.785
1.742 3.098 4.354
Hf Fe H
6 2 2
Direct
0.781 0.437 0.700
0.115 0.769 0.710
0.447 0.103 0.706
0.219 0.563 0.300
0.885 0.231 0.290
0.553 0.897 0.294
0.329 0.341 0.993
0.671 0.659 0.007
0.055 0.891 0.319
0.945 0.109 0.681

=====

7.
PBE Rb2Pm2TcO6, optimized geometry; DFT total energy = -6.93 eV/atom; space-group type = C2/m, No. 12; M_tot = 0.27 μB/atom; formation energy without anion corrections = -2241 meV per atom
1.0
5.948 0.008 0.108
-2.933 5.175 0.108
-1.018 -1.749 6.605
Rb Pm Tc O
2 2 1 6
Direct
0.838 0.162 0.000
0.162 0.838 0.000
0.335 0.665 0.500
0.665 0.335 0.500
0.000 0.000 0.500
0.756 0.756 0.668
0.046 0.350 0.664
0.244 0.244 0.332
0.350 0.046 0.664
0.954 0.650 0.336
0.650 0.954 0.336

=====

8.
PBE Li2Pa3Pt4, optimized geometry; DFT total energy = -7.03 eV/atom; space-group type = C2/m, No. 12; M_tot = 0.00 μB/atom; E_form = -752 meV per atom
1.0
-3.368 2.746 -0.326
-1.452 -4.881 3.018
4.427 5.903 3.981
Li Pa Pt
2 3 4
Direct
0.670 0.340 0.345
0.330 0.660 0.655
0.636 0.272 0.684
0.000 0.000 0.000
0.364 0.728 0.316
0.706 0.411 0.070
0.294 0.589 0.930
0.936 0.873 0.618
0.064 0.127 0.382

=====

9.
PBE Pm12ErSi6, optimized geometry; DFT total energy = -5.24 eV/atom; space-group type = R-3m, No. 166; M_tot = 0.00 μB/atom; formation energy without anion corrections = -289 meV per atom
1.0
8.618 0.037 0.052
-2.101 8.358 0.052
-2.101 -2.706 7.908
Pm Er Si
12 1 6
Direct
0.877 0.123 0.500
0.825 0.561 0.561
0.561 0.561 0.825
0.439 0.175 0.439
0.439 0.439 0.175
0.175 0.439 0.439
0.123 0.500 0.877
0.500 0.877 0.123
0.123 0.877 0.500
0.877 0.500 0.123
0.500 0.123 0.877
0.561 0.825 0.561
0.000 0.000 0.000
0.697 0.252 0.252
0.252 0.252 0.697
0.252 0.697 0.252
0.748 0.748 0.303
0.303 0.748 0.748
0.748 0.303 0.748

=====

10.
PBE CdSnN3, optimized geometry; DFT total energy = -3.91 eV/atom; space-group type = Pm-3m, No. 221; M_tot = 0.75 μB/atom; formation energy without anion corrections = 2066 meV per atom
1.0
4.262 0.000 0.000
0.000 4.262 0.000
0.000 0.000 4.262
N Sn Cd
3 1 1
Direct
0.000 0.500 0.000
0.000 0.000 0.500
0.500 0.000 0.000
0.500 0.500 0.500
0.000 0.000 0.000

=====

11.
PBE Zn3CoS4, optimized geometry; DFT total energy = -4.04 eV/atom; space-group type = P-4m2, No. 115; M_tot = 0.35 μB/atom; formation energy without anion corrections = -611 meV per atom
1.0
3.811 0.000 0.000
0.000 3.811 0.000
0.000 0.000 10.791
Zn Co S
3 1 4
Direct
0.000 0.000 0.755
0.500 0.500 0.500
0.000 0.000 0.245
0.500 0.500 0.000
0.000 0.500 0.372
0.500 0.000 0.116
0.000 0.500 0.884
0.500 0.000 0.628

=====

12.
PBE EuErFe4, optimized geometry; DFT total energy = -8.05 eV/atom; space-group type = F-43m, No. 216; M_tot = 0.06 μB/atom; E_form = 61 meV per atom
1.0
-0.164 3.423 -3.836
-3.774 3.491 -0.173
1.033 4.953 0.927
Eu Fe Er
1 4 1
Direct
0.000 0.000 0.000
0.624 0.624 0.127
0.624 0.127 0.624
0.624 0.624 0.624
0.127 0.624 0.624
0.250 0.250 0.250